# Ca2CdCl, relaxed, DFT PBE-GGA
data_Ca2CdCl
_chemical_formula_sum 'Ca6 Cd3 Cl3'
_cell_length_a 3.9637
_cell_length_b 3.9637
_cell_length_c 25.3171
_cell_angle_alpha 90.00
_cell_angle_beta 90.00
_cell_angle_gamma 120.00
_space_group_name_H-M_alt 'R -3 m'
_space_group_IT_number 166
_space_group_name_Hall '-R 3 2"'
loop_
_atom_site_label
_atom_site_type_symbol
_atom_site_fract_x
_atom_site_fract_y
_atom_site_fract_z
Ca1 Ca 0.0000 0.0000 0.2460
Cd1 Cd 0.0000 0.0000 0.0000
Cl1 Cl 0.0000 0.0000 0.5000
# Crystal system ... trigonal
# Formation energy (no corrections) ... -931 meV/atom

***

# SrPr4Cd5, relaxed, DFT PBE-GGA
data_SrPr4Cd5
_chemical_formula_sum 'Sr1 Pr4 Cd5'
_cell_length_a 3.9035
_cell_length_b 3.9035
_cell_length_c 19.7044
_cell_angle_alpha 90.00
_cell_angle_beta 90.00
_cell_angle_gamma 90.00
_space_group_name_H-M_alt 'P 4/m m m'
_space_group_IT_number 123
_space_group_name_Hall '-P 4 2'
loop_
_atom_site_label
_atom_site_type_symbol
_atom_site_fract_x
_atom_site_fract_y
_atom_site_fract_z
Sr1 Sr 0.0000 0.0000 0.0000
Pr1 Pr 0.0000 0.0000 0.2059
Pr2 Pr 0.0000 0.0000 0.4018
Cd1 Cd 0.5000 0.5000 0.1107
Cd2 Cd 0.5000 0.5000 0.3042
Cd3 Cd 0.5000 0.5000 0.5000
# Energy relative to the elements ... -322 meV per atom
# Crystal system ... tetragonal

***

| no. | E (eV/atom) |
| --- | --- |
| 1 | -2.622 |
| 2 | -2.859 |